K2Na2Tl | the Alexandria database | meta-GGA SCAN | single point on PBEsol structure; calculated density = 2.60 g/cm3; energy relative to the elements = -0.2 eV/f.u.; energy = -0.7174 Ha/atom
1.0
6.047 0.000 0.000
0.000 8.326 0.000
0.000 0.000 8.326
Na Tl K
4 2 4
Direct
0.000 0.354 0.854 Na
0.000 0.854 0.646 Na
0.000 0.646 0.146 Na
0.000 0.146 0.354 Na
0.000 0.000 0.000 Tl
0.000 0.500 0.500 Tl
0.500 0.185 0.685 K
0.500 0.685 0.815 K
0.500 0.815 0.315 K
0.500 0.315 0.185 K